[1]
# KPdCl | Alexandria via LeMat-Bulk | PBE | optimized geometry
data_KPdCl
_cell_length_a 3.6427
_cell_length_b 3.6428
_cell_length_c 11.1556
_cell_angle_alpha 84.59
_cell_angle_beta 84.10
_cell_angle_gamma 89.55
_symmetry_space_group_name_H-M 'P 1'
_symmetry_Int_Tables_number 1
_symmetry_space_group_name_Hall 'P 1'
loop_
_atom_site_label
_atom_site_fract_x
_atom_site_fract_y
_atom_site_fract_z
K1 0.0000 0.0000 0.0000
K2 0.1073 0.1010 0.6507
Pd1 0.1650 0.1515 0.3470
Pd2 0.6569 0.6455 0.4158
Cl1 0.4509 0.4553 0.1558
Cl2 0.5571 0.5548 0.8139
# Energy relative to the elements, uncorrected in eV per atom: -0.818

=====

[2]
# AcZrRh2 | Alexandria via LeMat-Bulk | PBE | optimized geometry
data_AcZrRh2
_cell_length_a 6.1559
_cell_length_b 6.1559
_cell_length_c 6.1559
_cell_angle_alpha 41.88
_cell_angle_beta 41.88
_cell_angle_gamma 41.88
_symmetry_space_group_name_H-M 'P 1'
_symmetry_Int_Tables_number 1
_symmetry_space_group_name_Hall 'P 1'
loop_
_atom_site_label
_atom_site_fract_x
_atom_site_fract_y
_atom_site_fract_z
Ac1 0.0000 0.0000 0.0000
Zr1 0.5000 0.5000 0.5000
Rh1 0.2185 0.2185 0.2185
Rh2 0.7815 0.7815 0.7815
# VASP energy in eV per formula unit: -29.8

=====

[3]
# ThPaTa | Alexandria via LeMat-Bulk | PBE | optimized geometry
data_ThPaTa
_cell_length_a 13.7388
_cell_length_b 13.7388
_cell_length_c 13.7388
_cell_angle_alpha 165.82
_cell_angle_beta 165.82
_cell_angle_gamma 20.11
_symmetry_space_group_name_H-M 'P 1'
_symmetry_Int_Tables_number 1
_symmetry_space_group_name_Hall 'P 1'
loop_
_atom_site_label
_atom_site_fract_x
_atom_site_fract_y
_atom_site_fract_z
Th1 0.0632 0.0632 0.0000
Th2 0.9368 0.9368 0.0000
Pa1 0.3494 0.3494 0.0000
Pa2 0.6506 0.6506 0.0000
Ta1 0.2207 0.2207 0.0000
Ta2 0.7793 0.7793 0.0000
# VASP energy in eV per formula unit: -27.9